No. 1
Here is a relaxed structure of InAu from Alexandria. Energies are from PBE-GGA.

abc: 5.4602 5.4602 5.4602
angles: 133.46 133.46 67.94
Last column: nearest neighbours and their distance in Å.
Atoms (fractional coordinates):
Au: 0.0000 0.0000 0.0000  8 In 3.05-3.13, 4 Au 3.13
Au: 0.2500 0.7500 0.5000  8 In 3.05-3.13, 4 Au 3.13
In: 0.7500 0.2500 0.5000  8 Au 3.05-3.13, 4 In 3.13
In: 0.5000 0.5000 0.0000  8 Au 3.05-3.13, 4 In 3.13

Summary:
DOS at the Fermi energy ... 1.6 states/eV/cell
Symmetry ... I4_1/amd
Magnetic moment ... 0.0 μB/f.u.
E_form ... -0.07 eV per atom

***

No. 2
Here is a relaxed structure of Ac2EuHg from Alexandria. Energies are from PBE-GGA.

abc: 3.8757 3.8757 13.3286
angles: 81.64 81.64 60.00
Last column: nearest neighbours and their distance in Å.
Atoms (fractional coordinates):
Eu: 0.5000 0.5000 0.5000  6 Eu 3.88, 6 Ac 3.90
Hg: 0.0000 0.0000 0.0000  2 Ac 3.38
Ac: 0.0857 0.0857 0.7428  1 Hg 3.38
Ac: 0.9143 0.9143 0.2572  1 Hg 3.38

Summary:
DOS at the Fermi energy ... 5.5 states/eV/cell
Symmetry ... R-3m
Distance to the lowest polymorph of the same formula ... 346 meV/atom
Magnetic moment ... 8.0 μB/f.u.
E_form ... 0.13 eV per atom

***

No. 3
Here is a relaxed structure of IrBr2 from Alexandria. Energies are from PBE-GGA.

abc: 7.2071 7.2071 7.2071
angles: 153.64 153.64 37.63
Last column: nearest neighbours and their distance in Å.
Atoms (fractional coordinates):
Ir: 0.0000 0.0000 0.0000  8 Br 2.80
Br: 0.6147 0.6147 0.0000  4 Ir 2.80, 1 Br 3.13
Br: 0.3853 0.3853 0.0000  4 Ir 2.80, 1 Br 3.13

Summary:
DOS at the Fermi energy ... 3.8 states/eV/cell
Symmetry ... I4/mmm
Electronic total energy ... -3.199 eV/atom
Magnetic moment ... 0.5 μB/f.u.

***

No. 4
Here is a relaxed structure of SrNd2Ho from Alexandria. Energies are from PBE-GGA.

abc: 5.9567 5.9567 5.9567
angles: 60.00 60.00 60.00
Last column: nearest neighbours and their distance in Å.
Atoms (fractional coordinates):
Ho: 0.5000 0.5000 0.5000  8 Nd 3.65
Nd: 0.2500 0.2500 0.2500  4 Ho 3.65, 4 Sr 3.65
Nd: 0.7500 0.7500 0.7500  4 Ho 3.65, 4 Sr 3.65
Sr: 0.0000 0.0000 0.0000  8 Nd 3.65

Summary:
DOS at the Fermi energy ... 6.4 states/eV/cell
Symmetry ... Fm-3m
Distance to the lowest polymorph of the same formula ... 124 meV/atom
Magnetic moment ... 0.0 μB/f.u.
E_form ... 0.21 eV per atom

***

No. 5
Here is a relaxed structure of CoPOs from Alexandria. Energies are from PBE-GGA.

abc: 2.7904 2.7904 16.6251
angles: 90.00 90.00 120.00
Last column: nearest neighbours and their distance in Å.
Atoms (fractional coordinates):
Os: 0.3333 0.6667 0.9478  3 P 2.40, 3 Co 2.69
Os: 0.6667 0.3333 0.6145  3 P 2.40, 3 Co 2.69
Os: 0.0000 0.0000 0.2812  3 P 2.40, 3 Co 2.69
P: 0.0000 0.0000 0.5072  3 Co 2.28, 3 Os 2.40
P: 0.6667 0.3333 0.8405  3 Co 2.28, 3 Os 2.40
P: 0.3333 0.6667 0.1739  3 Co 2.28, 3 Os 2.40
Co: 0.0000 0.0000 0.7439  3 P 2.28
Co: 0.3333 0.6667 0.4105  3 P 2.28
Co: 0.6667 0.3333 0.0772  3 P 2.28

Summary:
DOS at the Fermi energy ... 7.7 states/eV/cell
Symmetry ... R3m
Distance to the lowest polymorph of the same formula ... 220 meV/atom
Magnetic moment ... 0.6 μB/f.u.
E_form ... 0.00 eV per atom

***

No. 6
Here is a relaxed structure of Pm3Y2Cd2 from Alexandria. Energies are from PBE-GGA.

abc: 5.4714 5.4689 8.6822
angles: 108.36 90.02 120.01
Last column: nearest neighbours and their distance in Å.
Atoms (fractional coordinates):
Y: 0.0742 0.1482 0.7228  4 Cd 3.31-3.37, 3 Pm 3.54, 1 Y 3.60
Y: 0.9258 0.8518 0.2772  4 Cd 3.31-3.37, 3 Pm 3.54, 1 Y 3.60
Cd: 0.7891 0.5781 0.8676  4 Pm 3.18-3.34, 4 Y 3.31-3.37
Cd: 0.2109 0.4219 0.1324  4 Pm 3.18-3.34, 4 Y 3.31-3.37
Pm: 0.5000 0.0000 0.0000  6 Cd 3.33-3.34
Pm: 0.6581 0.3165 0.4745  1 Cd 3.18, 3 Pm 3.18-3.19, 3 Y 3.54
Pm: 0.3419 0.6835 0.5255  1 Cd 3.18, 3 Pm 3.18-3.19, 3 Y 3.54

Summary:
DOS at the Fermi energy ... 7.5 states/eV/cell
Symmetry ... R-3m
Distance to the lowest polymorph of the same formula ... 0 meV/atom
Magnetic moment ... 0.0 μB/f.u.
E_form ... -0.17 eV per atom

***

No. 7
Here is a relaxed structure of TiHI2N from Alexandria. Energies are from PBE-GGA.

abc: 5.1740 5.1740 3.1576
angles: 90.00 90.00 90.00
Last column: nearest neighbours and their distance in Å.
Atoms (fractional coordinates):
H: 0.0000 0.0000 0.0000  2 N 1.58
N: 0.0000 0.0000 0.5000  2 H 1.58
I: 0.5000 0.0000 0.0000  2 H 2.59
I: 0.0000 0.5000 0.0000  2 H 2.59
Ti: 0.5000 0.5000 0.5000  8 I 3.03, 2 Ti 3.16

Summary:
DOS at the Fermi energy ... 4.7 states/eV/cell
Symmetry ... P4/mmm
Distance to the lowest polymorph of the same formula ... 849 meV/atom
Magnetic moment ... 0.0 μB/f.u.

***

No. 8
Here is a relaxed structure of SrIn2Co2 from Alexandria. Energies are from PBE-GGA.

abc: 7.8434 7.8434 3.0792
angles: 90.00 90.00 90.00
Last column: nearest neighbours and their distance in Å.
Atoms (fractional coordinates):
In: 0.3558 0.1442 0.5000  6 Co 2.75-2.78, 2 In 3.08
In: 0.6442 0.8558 0.5000  6 Co 2.75-2.78, 2 In 3.08
In: 0.8558 0.3558 0.5000  6 Co 2.75-2.78, 2 In 3.08
In: 0.1442 0.6442 0.5000  6 Co 2.75-2.78, 2 In 3.08
Co: 0.8531 0.6469 0.0000  6 In 2.75-2.78, 2 Sr 3.00, 2 Co 3.08
Co: 0.3531 0.8531 0.0000  6 In 2.75-2.78, 2 Sr 3.00, 2 Co 3.08
Co: 0.6469 0.1469 0.0000  6 In 2.75-2.78, 2 Sr 3.00, 2 Co 3.08
Co: 0.1469 0.3531 0.0000  6 In 2.75-2.78, 2 Sr 3.00, 2 Co 3.08
Sr: 0.0000 0.0000 0.0000  4 Co 3.00, 2 Sr 3.08
Sr: 0.5000 0.5000 0.0000  4 Co 3.00, 2 Sr 3.08

Summary:
DOS at the Fermi energy ... 5.1 states/eV/cell
Symmetry ... P4/mbm
Magnetic moment ... 0.0 μB/f.u.
E_form ... 0.15 eV per atom

***

No. 9
Here is a relaxed structure of RbAsSe2Br from Alexandria. Energies are from PBE-GGA.

abc: 6.4363 6.4363 6.6961
angles: 90.00 90.00 90.00
Last column: nearest neighbours and their distance in Å.
Atoms (fractional coordinates):
Se: 0.0000 0.5000 0.0000  2 Rb 3.22
Se: 0.5000 0.0000 0.0000  2 Rb 3.22
Rb: 0.0000 0.0000 0.0000  4 Se 3.22, 2 As 3.35
As: 0.0000 0.0000 0.5000  2 Rb 3.35
Br: 0.5000 0.5000 0.5000  4 As 4.55, 8 Se 4.64

Summary:
DOS at the Fermi energy ... 11.8 states/eV/cell
Symmetry ... P4/mmm
Distance to the lowest polymorph of the same formula ... 1658 meV/atom
Magnetic moment ... 4.1 μB/f.u.

***

No. 10
Here is a relaxed structure of BaOs2Pb2 from Alexandria. Energies are from PBE-GGA.

abc: 8.3014 8.3014 3.3012
angles: 90.00 90.00 90.00
Last column: nearest neighbours and their distance in Å.
Atoms (fractional coordinates):
Ba: 0.5000 0.5000 0.0000  4 Os 3.24, 2 Ba 3.30, 8 Pb 3.55
Ba: 0.0000 0.0000 0.0000  4 Os 3.24, 2 Ba 3.30, 8 Pb 3.55
Os: 0.3660 0.8660 0.0000  6 Pb 2.90-2.99, 1 Os 3.15, 2 Ba 3.24
Os: 0.1340 0.3660 0.0000  6 Pb 2.90-2.99, 1 Os 3.15, 2 Ba 3.24
Os: 0.8660 0.6340 0.0000  6 Pb 2.90-2.99, 1 Os 3.15, 2 Ba 3.24
Os: 0.6340 0.1340 0.0000  6 Pb 2.90-2.99, 1 Os 3.15, 2 Ba 3.24
Pb: 0.1533 0.6533 0.5000  6 Os 2.90-2.99
Pb: 0.8467 0.3467 0.5000  6 Os 2.90-2.99
Pb: 0.3467 0.1533 0.5000  6 Os 2.90-2.99
Pb: 0.6533 0.8467 0.5000  6 Os 2.90-2.99

Summary:
DOS at the Fermi energy ... 6.3 states/eV/cell
Symmetry ... P4/mbm
Distance to the lowest polymorph of the same formula ... 413 meV/atom
Magnetic moment ... 0.0 μB/f.u.
E_form ... 0.78 eV per atom

***

No. 11
Here is a relaxed structure of SmBeGa from Alexandria. Energies are from PBE-GGA.

abc: 3.7717 4.2348 4.2348
angles: 120.00 90.00 90.00
Last column: nearest neighbours and their distance in Å.
Atoms (fractional coordinates):
Sm: 0.6665 0.6667 0.3333  6 Be 3.09, 6 Ga 3.09
Be: 0.1670 0.0000 0.0000  3 Ga 2.44
Ga: 0.1665 0.3333 0.6667  3 Be 2.44

Summary:
DOS at the Fermi energy ... 1.8 states/eV/cell
Symmetry ... P-6m2
Distance to the lowest polymorph of the same formula ... 0 meV/atom
Magnetic moment ... 0.0 μB/f.u.
E_form ... -0.36 eV per atom

***

No. 12
Here is a relaxed structure of Tb3PmN from Alexandria. Energies are from PBE-GGA.

abc: 5.0049 5.0049 5.0049
angles: 90.00 90.00 90.00
Last column: nearest neighbours and their distance in Å.
Atoms (fractional coordinates):
Tb: 0.5000 0.0000 0.0000  2 N 2.50
Tb: 0.0000 0.0000 0.5000  2 N 2.50
Tb: 0.0000 0.5000 0.0000  2 N 2.50
N: 0.0000 0.0000 0.0000  6 Tb 2.50
Pm: 0.5000 0.5000 0.5000  12 Tb 3.54

Summary:
DOS at the Fermi energy ... 7.3 states/eV/cell
Symmetry ... Pm-3m
Electronic total energy ... -5.887 eV/atom
Magnetic moment ... 0.5 μB/f.u.

***

No. 13
Here is a relaxed structure of Tl6GaAu8 from Alexandria. Energies are from PBE-GGA.

abc: 7.3922 7.3922 7.3922
angles: 71.20 71.20 71.20
Last column: nearest neighbours and their distance in Å.
Atoms (fractional coordinates):
Tl: 0.1692 0.6317 0.4319  5 Au 2.98-3.20
Tl: 0.4319 0.1692 0.6317  5 Au 2.98-3.20
Tl: 0.5681 0.8308 0.3683  5 Au 2.98-3.20
Tl: 0.6317 0.4319 0.1692  5 Au 2.98-3.20
Tl: 0.8308 0.3683 0.5681  5 Au 2.98-3.20
Tl: 0.3683 0.5681 0.8308  5 Au 2.98-3.20
Au: 0.3877 0.8609 0.0177  1 Ga 2.75, 3 Au 2.91-2.94, 2 Tl 2.98-3.02
Au: 0.8609 0.0177 0.3877  1 Ga 2.75, 3 Au 2.91-2.94, 2 Tl 2.98-3.02
Au: 0.0177 0.3877 0.8609  1 Ga 2.75, 3 Au 2.91-2.94, 2 Tl 2.98-3.02
Au: 0.8048 0.8048 0.8048  6 Au 2.91-2.94, 1 Ga 3.21
Au: 0.9822 0.6123 0.1391  1 Ga 2.75, 3 Au 2.91-2.94, 2 Tl 2.98-3.02
Au: 0.1952 0.1952 0.1952  6 Au 2.91-2.94, 1 Ga 3.21
Au: 0.6123 0.1391 0.9822  1 Ga 2.75, 3 Au 2.91-2.94, 2 Tl 2.98-3.02
Au: 0.1391 0.9822 0.6123  1 Ga 2.75, 3 Au 2.91-2.94, 2 Tl 2.98-3.02
Ga: 0.0000 0.0000 0.0000  6 Au 2.75

Summary:
DOS at the Fermi energy ... 5.8 states/eV/cell
Symmetry ... R-3
Magnetic moment ... 0.0 μB/f.u.
E_form ... -0.01 eV per atom

***

No. 14
Here is a relaxed structure of LiYThHg from Alexandria. Energies are from PBE-GGA.

abc: 5.3035 5.3035 5.3035
angles: 60.00 60.00 60.00
Last column: nearest neighbours and their distance in Å.
Atoms (fractional coordinates):
Y: 0.5000 0.5000 0.5000  4 Hg 3.25, 4 Li 3.25
Li: 0.7500 0.7500 0.7500  4 Th 3.25, 4 Y 3.25
Hg: 0.2500 0.2500 0.2500  4 Th 3.25, 4 Y 3.25
Th: 0.0000 0.0000 0.0000  4 Li 3.25, 4 Hg 3.25

Summary:
DOS at the Fermi energy ... 5.2 states/eV/cell
Symmetry ... F-43m
Magnetic moment ... 0.4 μB/f.u.
E_form ... -0.07 eV per atom

***

No. 15
Here is a relaxed structure of BaEuZnPb from Alexandria. Energies are from PBE-GGA.

abc: 5.7790 5.7790 5.7790
angles: 60.00 60.00 60.00
Last column: nearest neighbours and their distance in Å.
Atoms (fractional coordinates):
Ba: 0.7500 0.7500 0.7500  4 Pb 3.54, 4 Zn 3.54
Pb: 0.5000 0.5000 0.5000  4 Eu 3.54, 4 Ba 3.54
Zn: 0.0000 0.0000 0.0000  4 Ba 3.54, 4 Eu 3.54
Eu: 0.2500 0.2500 0.2500  4 Zn 3.54, 4 Pb 3.54

Summary:
DOS at the Fermi energy ... 11.7 states/eV/cell
Symmetry ... F-43m
Magnetic moment ... 7.1 μB/f.u.
E_form ... -0.39 eV per atom

***

No. 16
Here is a relaxed structure of Sr3NdTh2As6 from Alexandria. Energies are from PBE-GGA.

abc: 7.5677 7.5677 7.6412
angles: 99.50 99.50 120.02
Last column: nearest neighbours and their distance in Å.
Atoms (fractional coordinates):
Nd: 0.0000 0.0000 0.0000  6 As 3.04
Th: 0.3333 0.6667 0.0000  6 As 3.00
Th: 0.6667 0.3333 0.0000  6 As 3.00
Sr: 0.1654 0.8346 0.5000  6 As 3.18-3.21
Sr: 0.8346 0.1654 0.5000  6 As 3.18-3.21
Sr: 0.5000 0.5000 0.5000  6 As 3.17-3.21
As: 0.4136 0.0761 0.2284  2 Th 3.00, 1 Nd 3.04, 3 Sr 3.18-3.21
As: 0.2614 0.2614 0.7717  2 Th 3.00, 1 Nd 3.04, 3 Sr 3.17-3.20
As: 0.7386 0.7386 0.2283  2 Th 3.00, 1 Nd 3.04, 3 Sr 3.17-3.20
As: 0.5864 0.9239 0.7716  2 Th 3.00, 1 Nd 3.04, 3 Sr 3.18-3.21
As: 0.9239 0.5864 0.7716  2 Th 3.00, 1 Nd 3.04, 3 Sr 3.18-3.21
As: 0.0761 0.4136 0.2284  2 Th 3.00, 1 Nd 3.04, 3 Sr 3.18-3.21

Summary:
DOS at the Fermi energy ... 10.1 states/eV/cell
Symmetry ... C2/m
Magnetic moment ... 0.0 μB/f.u.
E_form ... -1.30 eV per atom

***

No. 17
Here is a relaxed structure of Nd2IrAu from Alexandria. Energies are from PBE-GGA.

abc: 4.1783 4.1783 7.6390
angles: 74.13 74.13 60.00
Last column: nearest neighbours and their distance in Å.
Atoms (fractional coordinates):
Ir: 0.6656 0.6656 0.0031  6 Nd 2.86-2.88
Nd: 0.2614 0.2614 0.2159  3 Ir 2.86, 3 Au 3.15
Nd: 0.0717 0.0717 0.7849  3 Ir 2.88, 3 Au 3.19
Au: 0.5013 0.5013 0.4962  6 Nd 3.15-3.19

Summary:
DOS at the Fermi energy ... 1.7 states/eV/cell
Symmetry ... R3m
Magnetic moment ... 0.0 μB/f.u.
E_form ... -0.66 eV per atom

***

No. 18
Here is a relaxed structure of Sr2CdCu3Ge4 from Alexandria. Energies are from PBE-GGA.

abc: 4.3468 4.3468 10.6843
angles: 90.00 90.00 90.00
Last column: nearest neighbours and their distance in Å.
Atoms (fractional coordinates):
Cu: 0.0000 0.5000 0.1228  5 Ge 2.46-2.54
Cu: 0.0000 0.0000 0.5000  4 Ge 2.68
Cu: 0.5000 0.0000 0.8772  5 Ge 2.46-2.54
Ge: 0.0000 0.5000 0.3534  3 Cu 2.46-2.68, 2 Cd 2.68
Ge: 0.5000 0.5000 0.0000  4 Cu 2.54
Ge: 0.5000 0.0000 0.6466  3 Cu 2.46-2.68, 2 Cd 2.68
Ge: 0.0000 0.0000 0.0000  4 Cu 2.54
Sr: 0.5000 0.0000 0.2429  8 Ge 3.29-3.39, 6 Cu 3.33-3.50, 2 Cd 3.50
Sr: 0.0000 0.5000 0.7571  8 Ge 3.29-3.39, 6 Cu 3.33-3.50, 2 Cd 3.50
Cd: 0.5000 0.5000 0.5000  4 Ge 2.68

Summary:
DOS at the Fermi energy ... 4.5 states/eV/cell
Symmetry ... P-4m2
Magnetic moment ... 0.0 μB/f.u.
E_form ... -0.33 eV per atom

***

No. 19
Here is a relaxed structure of Ti2Ga3Mo from Alexandria. Energies are from PBE-GGA.

abc: 3.4452 4.1983 6.8359
angles: 107.83 90.00 90.01
Last column: nearest neighbours and their distance in Å.
Atoms (fractional coordinates):
Ga: 0.0000 0.6594 0.3196  2 Ga 2.70, 6 Ti 2.72-2.88, 2 Mo 2.95-2.96
Ga: 0.5000 0.5000 0.0000  4 Ga 2.70, 4 Mo 2.72, 4 Ti 2.99
Ga: 0.0000 0.3406 0.6804  2 Ga 2.70, 6 Ti 2.72-2.88, 2 Mo 2.95-2.96
Ti: 0.5000 0.8371 0.6735  8 Ga 2.72-2.99, 2 Mo 2.74
Ti: 0.5000 0.1629 0.3265  8 Ga 2.72-2.99, 2 Mo 2.74
Mo: 0.0000 0.0000 0.0000  8 Ga 2.72-2.96, 4 Ti 2.74

Summary:
DOS at the Fermi energy ... 3.5 states/eV/cell
Symmetry ... Cmmm
Distance to the lowest polymorph of the same formula ... 0 meV/atom
Magnetic moment ... 0.0 μB/f.u.
E_form ... -0.37 eV per atom

***

No. 20
Here is a relaxed structure of Li8InSi2 from Alexandria. Energies are from PBE-GGA.

abc: 4.4744 7.3441 6.9958
angles: 122.03 108.65 90.00
Last column: nearest neighbours and their distance in Å.
Atoms (fractional coordinates):
Li: 0.1522 0.2422 0.3045  3 Li 2.48-2.73, 2 Si 2.67
Li: 0.3132 0.1210 0.6264  3 Si 2.65-2.79, 6 Li 2.72-2.78
Li: 0.6868 0.8790 0.3736  3 Si 2.65-2.79, 6 Li 2.72-2.78
Li: 0.0369 0.7255 0.0739  1 Si 2.59, 6 Li 2.65-2.88
Li: 0.9631 0.2745 0.9261  1 Si 2.59, 6 Li 2.65-2.88
Li: 0.8478 0.7578 0.6955  3 Li 2.48-2.73, 2 Si 2.67
Li: 0.6283 0.4597 0.2566  2 Li 2.48-2.72, 2 Si 2.67
Li: 0.3717 0.5403 0.7434  2 Li 2.48-2.72, 2 Si 2.67
Si: 0.2222 0.6946 0.4443  9 Li 2.59-2.79
Si: 0.7778 0.3054 0.5557  9 Li 2.59-2.79
In: 0.5000 0.0000 0.0000  8 Li 2.80-3.06, 2 Si 3.06

Summary:
DOS at the Fermi energy ... 4.0 states/eV/cell
Symmetry ... C2/m
Electronic total energy ... -2.804 eV/atom
Magnetic moment ... 0.0 μB/f.u.